Record 1
Computed, not measured: a geometry-optimized PtCSe2Br structure at the PBE level of DFT.

Structure (POSCAR):
```
PtCSe2Br
1.0
-1.794 -3.385 2.160
3.293 -2.594 -1.331
2.360 1.103 3.689
C Se Br Pt
1 2 1 1
Cartesian
0.000 0.000 0.000
1.646 -1.297 -0.666
-0.897 -1.693 1.080
1.180 0.551 1.844
1.929 -2.439 2.259
```

Computed properties:
Uncorrected formation energy (eV per atom): 1.43
Calculated volume (Å³/f.u.): 87
Space-group type: P4/mmm, No. 123

=====

Record 2
Computed, not measured: a geometry-optimized FeTeAs2 structure at the PBE level of DFT.

Structure (POSCAR):
```
FeTeAs2
1.0
9.104 0.112 0.066
8.455 3.376 0.066
8.455 1.679 2.929
As Fe Te
2 1 1
Cartesian
25.343 5.033 2.982
6.221 1.236 0.732
13.240 2.630 1.558
20.231 4.018 2.381
```

Computed properties:
Uncorrected formation energy (eV per atom): 0.19
Calculated volume (Å³/f.u.): 85
Space-group type: R3m, No. 160

=====

Record 3
Computed, not measured: a geometry-optimized RbVPbBr6 structure at the PBE level of DFT.

Structure (POSCAR):
```
RbVPbBr6
1.0
7.402 0.000 0.000
3.701 6.410 0.000
0.000 -0.001 7.385
Rb V Pb Br
1 1 1 6
Cartesian
7.402 0.000 0.000
3.701 2.136 3.692
7.402 4.273 3.693
1.625 2.210 2.180
2.726 0.302 5.205
5.777 2.209 5.205
2.600 3.898 5.204
4.803 3.897 2.179
4.676 0.302 2.180
```

Computed properties:
Uncorrected formation energy (eV per atom): -1.07
Calculated volume (Å³/f.u.): 350
Space-group type: P312, No. 149

=====

Record 4
Computed, not measured: a geometry-optimized AlHgOs2 structure at the PBE level of DFT.

Structure (POSCAR):
```
AlHgOs2
1.0
-3.711 0.714 3.025
-1.868 -4.304 1.192
4.554 1.639 0.093
Os Hg Al
2 1 1
Cartesian
0.000 0.000 0.000
-0.052 -2.230 1.697
-0.973 0.279 2.613
-2.790 -1.795 2.109
```

Computed properties:
ΔE_f (eV/atom): 0.558
Calculated volume (Å³/f.u.): 63
Space-group type: I-4m2, No. 119

=====

| no. | ρ (g cm⁻³) |
| --- | --- |
| 1 | 8.46 |
| 2 | 6.48 |
| 3 | 3.90 |
| 4 | 16.08 |